# YFe2Sb (PBE, relaxed)
# Symmetry = P4/mmm
# Uncorrected energy = -27.5 eV/cell
# Density = 7283 kg/m3
data_YFe2Sb
_chemical_formula_sum 'Y1 Fe2 Sb1'
_space_group_name_H-M_alt 'P 1'
_space_group_IT_number 1
_cell_length_a 3.960
_cell_length_b 4.308
_cell_length_c 4.308
_cell_angle_alpha 90.00
_cell_angle_beta 90.00
_cell_angle_gamma 90.00
loop_
_space_group_symop_operation_xyz
'x,y,z'
loop_
_atom_site_label
_atom_site_type_symbol
_atom_site_fract_x
_atom_site_fract_y
_atom_site_fract_z
Fe1 Fe 0.000 0.000 0.000
Y1 Y 0.500 0.000 0.500
Sb1 Sb 0.500 0.500 0.000
Fe2 Fe 0.000 0.500 0.500